Record 1
The following is a DFT calculation (PBE-GGA) of an optimized crystal structure of Hf2CrCoH.

Unit cell a=4.470 b=4.470 c=3.335 alpha=90.00 beta=90.00 gamma=90.00
Positions (direct):
1 Hf 0.000 0.500 0.000
2 Hf 0.500 0.000 0.000
3 Cr 0.000 0.000 0.500
4 Co 0.500 0.500 0.500
5 H 0.500 0.500 0.000

Distance to the lowest polymorph of the same formula (meV/atom): 7
Magnetic moment (μB/cell): 0.962
Calculated density (g/cm3): 11.7
Fermi-level density of states (states/eV/cell): 5.60


Record 2
The following is a DFT calculation (PBE-GGA) of an optimized crystal structure of Hf2CrCoH.

Unit cell a=4.476 b=4.476 c=3.304 alpha=90.00 beta=90.00 gamma=90.00
Positions (direct):
1 Hf 0.000 0.500 0.000
2 Hf 0.500 0.000 0.000
3 Cr 0.000 0.000 0.500
4 Co 0.500 0.500 0.500
5 H 0.000 0.000 0.000

Distance to the lowest polymorph of the same formula (meV/atom): 0
Magnetic moment (μB/cell): 0.100
Calculated density (g/cm3): 11.8
Fermi-level density of states (states/eV/cell): 4.18


Record 3
The following is a DFT calculation (PBE-GGA) of an optimized crystal structure of HfCrCo2H.

Unit cell a=3.934 b=3.934 c=3.635 alpha=90.00 beta=90.00 gamma=90.00
Positions (direct):
1 Hf 0.000 0.000 0.000
2 Cr 0.500 0.500 0.000
3 Co 0.000 0.500 0.500
4 Co 0.500 0.000 0.500
5 H 0.500 0.500 0.500

Magnetic moment (μB/cell): 3.860
Calculated density (g/cm3): 10.3
Raw total energy (eV per atom): -7.52
Fermi-level density of states (states/eV/cell): 3.99


Record 4
The following is a DFT calculation (PBE-GGA) of an optimized crystal structure of CrCo2HIr.

Unit cell a=3.622 b=3.622 c=3.732 alpha=90.00 beta=90.00 gamma=90.00
Positions (direct):
1 Cr 0.000 0.000 0.000
2 Co 0.000 0.500 0.500
3 Co 0.500 0.000 0.500
4 H 0.000 0.000 0.500
5 Ir 0.500 0.500 0.000

Distance to the lowest polymorph of the same formula (meV/atom): 0
Magnetic moment (μB/cell): 1.341
Calculated density (g/cm3): 12.3
Fermi-level density of states (states/eV/cell): 5.92


Record 5
The following is a DFT calculation (PBE-GGA) of an optimized crystal structure of CrCo2HIr.

Unit cell a=3.680 b=3.680 c=3.764 alpha=90.00 beta=90.00 gamma=90.00
Positions (direct):
1 Cr 0.000 0.000 0.000
2 Co 0.000 0.500 0.500
3 Co 0.500 0.000 0.500
4 H 0.500 0.500 0.500
5 Ir 0.500 0.500 0.000

Distance to the lowest polymorph of the same formula (meV/atom): 11
Magnetic moment (μB/cell): 0.199
Calculated density (g/cm3): 11.8
Fermi-level density of states (states/eV/cell): 4.33


Record 6
The following is a DFT calculation (PBE-GGA) of an optimized crystal structure of LaCrCo2H8.

Unit cell a=6.065 b=6.065 c=6.065 alpha=44.07 beta=44.07 gamma=44.07
Positions (direct):
1 La 0.000 0.000 0.000
2 Cr 0.500 0.500 0.500
3 Co 0.197 0.197 0.197
4 Co 0.803 0.803 0.803
5 H 0.118 0.409 0.841
6 H 0.159 0.882 0.591
7 H 0.297 0.297 0.297
8 H 0.409 0.841 0.118
9 H 0.591 0.159 0.882
10 H 0.703 0.703 0.703
11 H 0.841 0.118 0.409
12 H 0.882 0.591 0.159

Magnetic moment (μB/cell): 4.783
Calculated density (g/cm3): 5.4
Raw total energy (eV per atom): -4.81
Fermi-level density of states (states/eV/cell): 3.10


Record 7
The following is a DFT calculation (PBE-GGA) of an optimized crystal structure of Li2CrCoH6.

Unit cell a=4.683 b=4.710 c=8.129 alpha=90.00 beta=124.94 gamma=90.00
Positions (direct):
1 Li 0.245 0.021 0.249
2 Li 0.245 0.479 0.749
3 Li 0.755 0.521 0.251
4 Li 0.755 0.979 0.751
5 Cr 0.500 0.000 0.000
6 Cr 0.500 0.500 0.500
7 Co 0.000 0.000 0.500
8 Co 0.000 0.500 0.000
9 H 0.157 0.224 0.957
10 H 0.157 0.276 0.457
11 H 0.234 0.703 0.959
12 H 0.234 0.797 0.459
13 H 0.318 0.021 0.738
14 H 0.318 0.479 0.238
15 H 0.682 0.521 0.762
16 H 0.682 0.979 0.262
17 H 0.766 0.203 0.541
18 H 0.766 0.297 0.041
19 H 0.843 0.724 0.543
20 H 0.843 0.776 0.043

Magnetic moment (μB/cell): 9.961
Calculated density (g/cm3): 3.0
Raw total energy (eV per atom): -4.21
Fermi-level density of states (states/eV/cell): 1.87


Record 8
The following is a DFT calculation (PBE-GGA) of an optimized crystal structure of MnCrCo2H.

Unit cell a=3.566 b=3.566 c=3.680 alpha=90.00 beta=90.00 gamma=90.00
Positions (direct):
1 Mn 0.000 0.000 0.000
2 Cr 0.500 0.500 0.000
3 Co 0.000 0.500 0.500
4 Co 0.500 0.000 0.500
5 H 0.000 0.000 0.500

Distance to the lowest polymorph of the same formula (meV/atom): 0
Magnetic moment (μB/cell): 0.874
Calculated density (g/cm3): 8.0
Fermi-level density of states (states/eV/cell): 4.56


Record 9
The following is a DFT calculation (PBE-GGA) of an optimized crystal structure of MnCr2CoH.

Unit cell a=3.618 b=3.618 c=3.594 alpha=90.00 beta=90.00 gamma=90.00
Positions (direct):
1 Mn 0.000 0.000 0.000
2 Cr 0.000 0.500 0.500
3 Cr 0.500 0.000 0.500
4 Co 0.500 0.500 0.000
5 H 0.000 0.000 0.500

Distance to the lowest polymorph of the same formula (meV/atom): 9
Magnetic moment (μB/cell): 0.558
Calculated density (g/cm3): 7.7
Fermi-level density of states (states/eV/cell): 4.64


Record 10
The following is a DFT calculation (PBE-GGA) of an optimized crystal structure of MnCrCo2H.

Unit cell a=3.472 b=3.472 c=3.713 alpha=90.00 beta=90.00 gamma=90.00
Positions (direct):
1 Mn 0.000 0.000 0.000
2 Cr 0.500 0.500 0.000
3 Co 0.000 0.500 0.500
4 Co 0.500 0.000 0.500
5 H 0.500 0.500 0.500

Distance to the lowest polymorph of the same formula (meV/atom): 89
Magnetic moment (μB/cell): 0.001
Calculated density (g/cm3): 8.4
Fermi-level density of states (states/eV/cell): 5.04


Record 11
The following is a DFT calculation (PBE-GGA) of an optimized crystal structure of MnCrCoH2.

Unit cell a=3.289 b=3.289 c=4.790 alpha=90.00 beta=90.00 gamma=90.00
Positions (direct):
1 Mn 0.000 0.000 0.000
2 Cr 0.500 0.500 0.500
3 Co 0.000 0.000 0.500
4 H 0.000 0.500 0.000
5 H 0.500 0.000 0.000

Magnetic moment (μB/cell): 0.903
Calculated density (g/cm3): 5.4
Raw total energy (eV per atom): -5.88
Fermi-level density of states (states/eV/cell): 4.67


Record 12
The following is a DFT calculation (PBE-GGA) of an optimized crystal structure of MnCr2CoH.

Unit cell a=3.650 b=3.650 c=3.545 alpha=90.00 beta=90.00 gamma=90.00
Positions (direct):
1 Mn 0.000 0.000 0.000
2 Cr 0.000 0.500 0.500
3 Cr 0.500 0.000 0.500
4 Co 0.500 0.500 0.000
5 H 0.500 0.500 0.500

Distance to the lowest polymorph of the same formula (meV/atom): 0
Magnetic moment (μB/cell): 0.256
Calculated density (g/cm3): 7.7
Fermi-level density of states (states/eV/cell): 4.88